Record 1
A relaxed structure of LaLuZnAg. Source: the Alexandria database, functional PBE-GGA.

The calculation puts the energy of formation from the pure elements at -28 kJ per mole of atoms. As for the crystal system: cubic. The calculated density comes out at 8.15 g cm⁻³.

Cell lengths 5.1962, 5.1962, 5.1962 Å; angles 60.00, 60.00, 60.00 degrees
Closest atoms and distances in Å follow each position.
Sites, in units of the cell vectors:
La1 0.7500 0.7500 0.7500  4 Zn 3.18, 4 Ag 3.18
Lu1 0.2500 0.2500 0.2500  4 Zn 3.18, 4 Ag 3.18
Zn1 0.5000 0.5000 0.5000  4 La 3.18, 4 Lu 3.18
Ag1 0.0000 0.0000 0.0000  4 La 3.18, 4 Lu 3.18

***

Record 2
A relaxed structure of CaMoPb2. Source: the Alexandria database, functional PBE-GGA.

The calculation puts the energy of formation from the pure elements at 32 kJ per mole of atoms. As for the crystal system: tetragonal. The calculated density comes out at 9.54 g cm⁻³. For the distance to the lowest polymorph of the same formula, the calculation gives 128 meV per atom.

Cell lengths 5.3270, 5.3270, 5.3270 Å; angles 125.86, 125.86, 80.12 degrees
Closest atoms and distances in Å follow each position.
Sites, in units of the cell vectors:
Mo1 0.7500 0.2500 0.5000  8 Pb 3.17, 4 Ca 3.43
Pb1 0.5000 0.5000 0.0000  4 Ca 3.17, 4 Mo 3.17, 4 Pb 3.43
Pb2 0.0000 0.0000 0.0000  4 Ca 3.17, 4 Mo 3.17, 4 Pb 3.43
Ca1 0.2500 0.7500 0.5000  8 Pb 3.17, 4 Mo 3.43

***

Record 3
A relaxed structure of SbP3Se. Source: the Alexandria database, functional PBE-GGA.

As for the crystal system: cubic. The calculated density comes out at 4.45 g cm⁻³. For the distance to the lowest polymorph of the same formula, the calculation gives 0 meV per atom.

Cell lengths 4.7840, 4.7840, 4.7840 Å; angles 90.00, 90.00, 90.00 degrees
Closest atoms and distances in Å follow each position.
Sites, in units of the cell vectors:
P1 0.5000 0.0000 0.0000  2 Se 2.39
P2 0.0000 0.5000 0.0000  2 Se 2.39
P3 0.0000 0.0000 0.5000  2 Se 2.39
Se1 0.0000 0.0000 0.0000  6 P 2.39
Sb1 0.5000 0.5000 0.5000  12 P 3.38

***

Record 4
A relaxed structure of KTlSbTe2. Source: the Alexandria database, functional PBE-GGA.

As for the crystal system: tetragonal. The calculated density comes out at 4.98 g cm⁻³. For the distance to the lowest polymorph of the same formula, the calculation gives 0 meV per atom.

Cell lengths 6.0115, 6.0115, 5.7249 Å; angles 90.00, 90.00, 90.00 degrees
Closest atoms and distances in Å follow each position.
Sites, in units of the cell vectors:
Sb1 0.0000 0.0000 0.5000  2 Tl 2.86
Te1 0.5000 0.0000 0.0000  2 Tl 3.01
Te2 0.0000 0.5000 0.0000  2 Tl 3.01
K1 0.5000 0.5000 0.5000  8 Te 4.15, 4 Sb 4.25
Tl1 0.0000 0.0000 0.0000  2 Sb 2.86, 4 Te 3.01

***

Record 5
A relaxed structure of CsCd3. Source: the Alexandria database, functional PBE-GGA.

The calculation puts the energy of formation from the pure elements at 12 kJ per mole of atoms. As for the crystal system: cubic. The calculated density comes out at 5.30 g cm⁻³. For the distance to the lowest polymorph of the same formula, the calculation gives 195 meV per atom.

Cell lengths 5.9294, 5.9294, 5.9294 Å; angles 60.00, 60.00, 60.00 degrees
Closest atoms and distances in Å follow each position.
Sites, in units of the cell vectors:
Cd1 0.2500 0.2500 0.2500  4 Cd 3.63, 4 Cs 3.63
Cd2 0.0000 0.0000 0.0000  8 Cd 3.63
Cd3 0.7500 0.7500 0.7500  4 Cd 3.63, 4 Cs 3.63
Cs1 0.5000 0.5000 0.5000  8 Cd 3.63

***

Record 6
A relaxed structure of HoTm12Sc3. Source: the Alexandria database, functional PBE-GGA.

The calculation puts the energy of formation from the pure elements at 4 kJ per mole of atoms. As for the crystal system: tetragonal. The calculated density comes out at 8.34 g cm⁻³.

Cell lengths 4.8763, 4.8763, 19.4954 Å; angles 90.00, 90.00, 90.00 degrees
Closest atoms and distances in Å follow each position.
Sites, in units of the cell vectors:
Tm1 0.0000 0.5000 0.1282  2 Sc 3.43, 8 Tm 3.44-3.49, 2 Ho 3.49
Tm2 0.0000 0.5000 0.8718  2 Sc 3.43, 8 Tm 3.44-3.49, 2 Ho 3.49
Tm3 0.5000 0.0000 0.3760  8 Tm 3.43-3.45, 4 Sc 3.43-3.44
Tm4 0.5000 0.5000 0.0000  4 Ho 3.45, 8 Tm 3.49
Tm5 0.5000 0.0000 0.6240  8 Tm 3.43-3.45, 4 Sc 3.43-3.44
Tm6 0.5000 0.5000 0.2524  8 Tm 3.43-3.44, 4 Sc 3.45
Tm7 0.5000 0.5000 0.7476  8 Tm 3.43-3.44, 4 Sc 3.45
Tm8 0.0000 0.5000 0.3760  8 Tm 3.43-3.45, 4 Sc 3.43-3.44
Tm9 0.5000 0.0000 0.8718  2 Sc 3.43, 8 Tm 3.44-3.49, 2 Ho 3.49
Tm10 0.5000 0.0000 0.1282  2 Sc 3.43, 8 Tm 3.44-3.49, 2 Ho 3.49
Tm11 0.0000 0.5000 0.6240  8 Tm 3.43-3.45, 4 Sc 3.43-3.44
Tm12 0.5000 0.5000 0.5000  8 Tm 3.43, 4 Sc 3.45
Sc1 0.0000 0.0000 0.7482  12 Tm 3.43-3.45
Sc2 0.0000 0.0000 0.2518  12 Tm 3.43-3.45
Sc3 0.0000 0.0000 0.5000  12 Tm 3.43-3.45
Ho1 0.0000 0.0000 0.0000  12 Tm 3.45-3.49

***

Record 7
A relaxed structure of Ce6Ge2AsS3. Source: the Alexandria database, functional PBE-GGA.

The raw total energy is -6.65 eV per atom. As for the crystal system: monoclinic. The calculated density comes out at 6.41 g cm⁻³.

Cell lengths 4.1470, 8.2399, 9.2251 Å; angles 102.40, 102.99, 90.00 degrees
Closest atoms and distances in Å follow each position.
Sites, in units of the cell vectors:
Ce1 0.6684 0.0783 0.3369  3 S 2.89, 1 As 2.95, 2 Ge 2.96
Ce2 0.3354 0.4114 0.6708  3 S 2.89, 3 Ge 2.96
Ce3 0.9980 0.2543 0.9961  3 S 2.89, 2 As 2.95, 1 Ge 2.96
Ce4 0.3316 0.9217 0.6631  3 S 2.89, 1 As 2.95, 2 Ge 2.96
Ce5 0.0020 0.7457 0.0039  3 S 2.89, 2 As 2.95, 1 Ge 2.96
Ce6 0.6646 0.5886 0.3292  3 S 2.89, 3 Ge 2.96
Ge1 0.1666 0.3332 0.3331  6 Ce 2.96
Ge2 0.8334 0.6668 0.6669  6 Ce 2.96
S1 0.1666 0.8336 0.3333  6 Ce 2.89
S2 0.5000 0.5000 0.0000  6 Ce 2.89
S3 0.8334 0.1664 0.6667  6 Ce 2.89
As1 0.5000 0.0000 0.0000  6 Ce 2.95

***

Record 8
A relaxed structure of NaSn2As2. Source: the Alexandria database, functional PBE-GGA.

The calculation puts the energy of formation from the pure elements at -24 kJ per mole of atoms. As for the crystal system: trigonal. The calculated density comes out at 5.10 g cm⁻³. For the distance to the lowest polymorph of the same formula, the calculation gives 0 meV per atom.

Cell lengths 9.5724, 9.5724, 9.5724 Å; angles 24.59, 24.59, 24.59 degrees
Closest atoms and distances in Å follow each position.
Sites, in units of the cell vectors:
As1 0.5934 0.5934 0.5934  3 Sn 2.72
As2 0.4066 0.4066 0.4066  3 Sn 2.72
Sn1 0.7889 0.7889 0.7889  3 As 2.72
Sn2 0.2111 0.2111 0.2111  3 As 2.72
Na1 0.0000 0.0000 0.0000  6 As 3.11

***

Record 9
A relaxed structure of Tb2CeGa6. Source: the Alexandria database, functional PBE-GGA.

The calculation puts the energy of formation from the pure elements at -61 kJ per mole of atoms. As for the crystal system: hexagonal. The calculated density comes out at 7.52 g cm⁻³. For the distance to the lowest polymorph of the same formula, the calculation gives 0 meV per atom.

Cell lengths 4.1421, 7.3460, 7.3460 Å; angles 120.00, 90.00, 90.00 degrees
Closest atoms and distances in Å follow each position.
Sites, in units of the cell vectors:
Ga1 0.5000 0.6662 0.0000  3 Ga 2.44-2.45
Ga2 0.5000 0.0000 0.6662  3 Ga 2.44-2.45
Ga3 0.5000 0.6662 0.6662  3 Ga 2.44-2.45
Ga4 0.5000 0.3338 0.0000  3 Ga 2.44-2.45
Ga5 0.5000 0.0000 0.3338  3 Ga 2.44-2.45
Ga6 0.5000 0.3338 0.3338  3 Ga 2.44-2.45
Tb1 0.0000 0.3333 0.6667  12 Ga 3.21
Tb2 0.0000 0.6667 0.3333  12 Ga 3.21
Ce1 0.0000 0.0000 0.0000  12 Ga 3.21

***

Record 10
A relaxed structure of Cs2LaTlCl6. Source: the Alexandria database, functional PBE-GGA.

As for the crystal system: cubic. The calculated density comes out at 3.36 g cm⁻³. For the distance to the lowest polymorph of the same formula, the calculation gives 31 meV per atom.

Cell lengths 8.3123, 8.3123, 8.3137 Å; angles 60.01, 60.01, 90.00 degrees
Closest atoms and distances in Å follow each position.
Sites, in units of the cell vectors:
Cs1 0.2500 0.7500 0.5000  12 Cl 4.16
Cs2 0.7500 0.2500 0.5000  12 Cl 4.16
La1 0.5000 0.5000 0.0000  6 Cl 2.77
Cl1 0.7360 0.7360 0.0000  1 La 2.77, 1 Tl 3.10
Cl2 0.7360 0.7360 0.5281  1 La 2.77, 1 Tl 3.11
Cl3 0.7360 0.2640 0.0000  1 La 2.77, 1 Tl 3.10
Cl4 0.2640 0.2640 0.0000  1 La 2.77, 1 Tl 3.10
Cl5 0.2640 0.7360 0.0000  1 La 2.77, 1 Tl 3.10
Cl6 0.2640 0.2640 0.4719  1 La 2.77, 1 Tl 3.11
Tl1 0.0000 0.0000 0.0000  6 Cl 3.10-3.11